Model 1:
The following is a PBE calculation of a relaxed structure of ThScOs, from the Alexandria database.

```
ThScOs
1.0
-0.272 2.258 2.416
-3.255 -0.610 0.204
2.891 -5.380 3.075
Th Sc Os
1 1 1
Cartesian
0.067 -0.271 0.261
0.664 -2.682 2.582
-1.367 -0.778 2.852
```

Computed properties:
ρ = 10.97 g/cm³
SG = I4mm
size of the total moment = 0.0 μB per formula unit

=====

Model 2:
The following is a PBE calculation of a relaxed structure of ThScOs, from the Alexandria database.

```
ThScOs
1.0
4.740 0.000 0.000
2.370 4.105 0.000
2.370 1.368 3.870
Os Th Sc
1 1 1
Cartesian
2.370 1.368 0.968
4.740 2.737 1.935
0.000 0.000 0.000
```

Computed properties:
ρ = 10.30 g/cm³
SG = F-43m
size of the total moment = 0.0 μB per formula unit

=====

In terms of stability, model 2 leads; the second structure lies 67 meV per atom higher.

=====

Model 1:
The following is a PBE calculation of a relaxed structure of Y2Zr, from the Alexandria database.

```
Y2Zr
1.0
-2.098 5.200 -2.692
-1.349 0.032 -6.072
-9.957 -2.880 2.197
Zr Y
4 8
Cartesian
-6.966 2.138 -4.812
-2.608 3.398 -5.774
-6.438 0.215 -1.754
-10.796 -1.046 -0.793
0.000 0.000 0.000
-4.978 -1.440 1.098
-9.669 2.152 -2.679
-3.734 0.201 -3.888
-4.095 2.687 -2.262
-10.318 2.167 -5.600
-9.309 -0.334 -4.305
-3.085 0.185 -0.967
```

Computed properties:
ρ = 5.03 g/cm³
SG = P6_3/mmc
size of the total moment = 0.0 μB per formula unit

=====

Model 2:
The following is a PBE calculation of a relaxed structure of Y2Zr, from the Alexandria database.

```
Y2Zr
1.0
-2.106 5.891 4.526
-6.101 3.453 3.236
4.338 -6.091 -1.925
Y Zr
2 1
Cartesian
-8.113 9.236 7.672
-5.566 6.336 5.263
-2.736 3.114 2.587
```

Computed properties:
ρ = 5.17 g/cm³
SG = I4/mmm
size of the total moment = 0.0 μB per formula unit

=====

In terms of stability, model 2 leads; the second structure lies 461 meV per atom higher.